Material: Cs2MnSbO4
Method: DFT, PBE with a Hubbard U
State: optimized geometry

As for the space group: P1 (1). For the total DFT energy (no corrections), the calculation gives -44.36 eV/cell.

Cell and atoms, written as POSCAR:
```
Cs2MnSbO4
1.0
-3.1690 4.9371 2.0867
-5.7496 -0.2959 -4.6488
1.8074 -4.8437 3.2475
O Cs Mn Sb
4 2 1 1
direct
0.3382 0.6720 0.1715
0.8545 0.5495 0.2247
0.0183 0.2005 0.7817
0.6940 0.4873 0.5716
0.4932 0.9967 0.0220
0.2530 0.2920 0.5220
0.9975 0.4807 0.9748
0.7384 0.7083 0.5057
```